[1]
Crystalline SiPtSe at its relaxed geometry, computed with PBE.

- VASP energy (eV/atom) = -4.868
- space-group type = F-43m, No. 216
- Fermi-level density of states (states/eV/f.u.) = 0.2

Geometry as CIF:
```
data_SiPtSe
_symmetry_space_group_name_H-M 'P 1'
_symmetry_Int_Tables_number 1
_cell_length_a 4.260
_cell_length_b 4.260
_cell_length_c 4.260
_cell_angle_alpha 60.00
_cell_angle_beta 60.00
_cell_angle_gamma 60.00
loop_
_symmetry_equiv_pos_as_xyz
'x,y,z'
loop_
_atom_site_label
_atom_site_type_symbol
_atom_site_fract_x
_atom_site_fract_y
_atom_site_fract_z
_atom_site_occupancy
Si1 Si 0.000 0.000 0.000 1
Pt1 Pt 0.250 0.250 0.250 1
Se1 Se 0.750 0.750 0.750 1
```

[2]
Crystalline SiPtSe at its relaxed geometry, computed with PBE.

- VASP energy (eV/atom) = -5.277
- space-group type = Imm2, No. 44
- Fermi-level density of states (states/eV/f.u.) = 0.9

Geometry as CIF:
```
data_SiPtSe
_symmetry_space_group_name_H-M 'P 1'
_symmetry_Int_Tables_number 1
_cell_length_a 6.486
_cell_length_b 6.486
_cell_length_c 6.486
_cell_angle_alpha 155.53
_cell_angle_beta 147.20
_cell_angle_gamma 41.34
loop_
_symmetry_equiv_pos_as_xyz
'x,y,z'
loop_
_atom_site_label
_atom_site_type_symbol
_atom_site_fract_x
_atom_site_fract_y
_atom_site_fract_z
_atom_site_occupancy
Si1 Si 0.000 0.000 0.000 1
Pt1 Pt 0.430 0.430 0.000 1
Se1 Se 0.193 0.193 0.000 1
```

[3]
Crystalline Si2PtSe at its relaxed geometry, computed with PBE.

- VASP energy (eV/atom) = -4.696
- space-group type = F-43m, No. 216
- Fermi-level density of states (states/eV/f.u.) = 2.1

Geometry as CIF:
```
data_Si2PtSe
_symmetry_space_group_name_H-M 'P 1'
_symmetry_Int_Tables_number 1
_cell_length_a 4.541
_cell_length_b 4.541
_cell_length_c 4.541
_cell_angle_alpha 60.00
_cell_angle_beta 60.00
_cell_angle_gamma 60.00
loop_
_symmetry_equiv_pos_as_xyz
'x,y,z'
loop_
_atom_site_label
_atom_site_type_symbol
_atom_site_fract_x
_atom_site_fract_y
_atom_site_fract_z
_atom_site_occupancy
Si1 Si 0.000 0.000 0.000 1
Si2 Si 0.250 0.250 0.250 1
Pt1 Pt 0.500 0.500 0.500 1
Se1 Se 0.750 0.750 0.750 1
```

[4]
Crystalline Si2PtSe at its relaxed geometry, computed with PBE.

- VASP energy (eV/atom) = -5.186
- space-group type = I4/mmm, No. 139
- Fermi-level density of states (states/eV/f.u.) = 0.9

Geometry as CIF:
```
data_Si2PtSe
_symmetry_space_group_name_H-M 'P 1'
_symmetry_Int_Tables_number 1
_cell_length_a 4.461
_cell_length_b 4.461
_cell_length_c 4.461
_cell_angle_alpha 109.76
_cell_angle_beta 109.76
_cell_angle_gamma 108.89
loop_
_symmetry_equiv_pos_as_xyz
'x,y,z'
loop_
_atom_site_label
_atom_site_type_symbol
_atom_site_fract_x
_atom_site_fract_y
_atom_site_fract_z
_atom_site_occupancy
Si1 Si 0.000 0.500 0.500 1
Si2 Si 0.500 0.000 0.500 1
Pt1 Pt 0.000 0.000 0.000 1
Se1 Se 0.500 0.500 0.000 1
```

[5]
Crystalline SiPt2Se at its relaxed geometry, computed with PBE.

- VASP energy (eV/atom) = -5.205
- space-group type = Fm-3m, No. 225
- Fermi-level density of states (states/eV/f.u.) = 1.0

Geometry as CIF:
```
data_SiPt2Se
_symmetry_space_group_name_H-M 'P 1'
_symmetry_Int_Tables_number 1
_cell_length_a 4.493
_cell_length_b 4.493
_cell_length_c 4.493
_cell_angle_alpha 60.00
_cell_angle_beta 60.00
_cell_angle_gamma 60.00
loop_
_symmetry_equiv_pos_as_xyz
'x,y,z'
loop_
_atom_site_label
_atom_site_type_symbol
_atom_site_fract_x
_atom_site_fract_y
_atom_site_fract_z
_atom_site_occupancy
Si1 Si 0.000 0.000 0.000 1
Pt1 Pt 0.250 0.250 0.250 1
Pt2 Pt 0.750 0.750 0.750 1
Se1 Se 0.500 0.500 0.500 1
```

[6]
Crystalline SiPt2Se at its relaxed geometry, computed with PBE.

- VASP energy (eV/atom) = -5.439
- space-group type = Imm2, No. 44
- Fermi-level density of states (states/eV/f.u.) = 2.1

Geometry as CIF:
```
data_SiPt2Se
_symmetry_space_group_name_H-M 'P 1'
_symmetry_Int_Tables_number 1
_cell_length_a 6.754
_cell_length_b 6.754
_cell_length_c 6.754
_cell_angle_alpha 153.39
_cell_angle_beta 149.59
_cell_angle_gamma 40.84
loop_
_symmetry_equiv_pos_as_xyz
'x,y,z'
loop_
_atom_site_label
_atom_site_type_symbol
_atom_site_fract_x
_atom_site_fract_y
_atom_site_fract_z
_atom_site_occupancy
Si1 Si 0.000 0.000 0.000 1
Pt1 Pt 0.432 0.432 0.000 1
Pt2 Pt 0.629 0.129 0.500 1
Se1 Se 0.254 0.754 0.500 1
```

[7]
Crystalline SiPt2Se at its relaxed geometry, computed with PBE.

- VASP energy (eV/atom) = -5.136
- space-group type = Pmmm, No. 47
- Fermi-level density of states (states/eV/f.u.) = 2.1

Geometry as CIF:
```
data_SiPt2Se
_symmetry_space_group_name_H-M 'P 1'
_symmetry_Int_Tables_number 1
_cell_length_a 2.843
_cell_length_b 4.398
_cell_length_c 5.332
_cell_angle_alpha 90.00
_cell_angle_beta 90.00
_cell_angle_gamma 90.00
loop_
_symmetry_equiv_pos_as_xyz
'x,y,z'
loop_
_atom_site_label
_atom_site_type_symbol
_atom_site_fract_x
_atom_site_fract_y
_atom_site_fract_z
_atom_site_occupancy
Si1 Si 0.000 0.000 0.000 1
Pt1 Pt 0.000 0.500 0.500 1
Pt2 Pt 0.500 0.500 0.000 1
Se1 Se 0.500 0.000 0.500 1
```

[8]
Crystalline SiPt2Se at its relaxed geometry, computed with PBE.

- VASP energy (eV/atom) = -5.530
- space-group type = Pmmm, No. 47
- Fermi-level density of states (states/eV/f.u.) = 1.4

Geometry as CIF:
```
data_SiPt2Se
_symmetry_space_group_name_H-M 'P 1'
_symmetry_Int_Tables_number 1
_cell_length_a 2.811
_cell_length_b 3.280
_cell_length_c 7.162
_cell_angle_alpha 90.00
_cell_angle_beta 90.00
_cell_angle_gamma 90.00
loop_
_symmetry_equiv_pos_as_xyz
'x,y,z'
loop_
_atom_site_label
_atom_site_type_symbol
_atom_site_fract_x
_atom_site_fract_y
_atom_site_fract_z
_atom_site_occupancy
Si1 Si 0.000 0.000 0.000 1
Pt1 Pt 0.500 0.500 0.195 1
Pt2 Pt 0.500 0.500 0.805 1
Se1 Se 0.500 0.000 0.500 1
```

[9]
Crystalline SiPt2Se at its relaxed geometry, computed with PBE.

- VASP energy (eV/atom) = -5.179
- space-group type = P4/mmm, No. 123
- Fermi-level density of states (states/eV/f.u.) = 1.8

Geometry as CIF:
```
data_SiPt2Se
_symmetry_space_group_name_H-M 'P 1'
_symmetry_Int_Tables_number 1
_cell_length_a 4.373
_cell_length_b 4.373
_cell_length_c 3.373
_cell_angle_alpha 90.00
_cell_angle_beta 90.00
_cell_angle_gamma 90.00
loop_
_symmetry_equiv_pos_as_xyz
'x,y,z'
loop_
_atom_site_label
_atom_site_type_symbol
_atom_site_fract_x
_atom_site_fract_y
_atom_site_fract_z
_atom_site_occupancy
Si1 Si 0.000 0.000 0.000 1
Pt1 Pt 0.000 0.500 0.500 1
Pt2 Pt 0.500 0.000 0.500 1
Se1 Se 0.500 0.500 0.000 1
```

[10]
Crystalline SiPt2Se at its relaxed geometry, computed with PBE.

- VASP energy (eV/atom) = -5.474
- space-group type = R3m, No. 160
- Fermi-level density of states (states/eV/f.u.) = 2.9

Geometry as CIF:
```
data_SiPt2Se
_symmetry_space_group_name_H-M 'P 1'
_symmetry_Int_Tables_number 1
_cell_length_a 6.891
_cell_length_b 6.891
_cell_length_c 6.891
_cell_angle_alpha 31.52
_cell_angle_beta 31.52
_cell_angle_gamma 31.52
loop_
_symmetry_equiv_pos_as_xyz
'x,y,z'
loop_
_atom_site_label
_atom_site_type_symbol
_atom_site_fract_x
_atom_site_fract_y
_atom_site_fract_z
_atom_site_occupancy
Si1 Si 0.000 0.000 0.000 1
Pt1 Pt 0.467 0.467 0.467 1
Pt2 Pt 0.710 0.710 0.710 1
Se1 Se 0.194 0.194 0.194 1
```

[11]
Crystalline SiPt2Se at its relaxed geometry, computed with PBE.

- VASP energy (eV/atom) = -5.145
- space-group type = I-4m2, No. 119
- Fermi-level density of states (states/eV/f.u.) = 2.3

Geometry as CIF:
```
data_SiPt2Se
_symmetry_space_group_name_H-M 'P 1'
_symmetry_Int_Tables_number 1
_cell_length_a 5.147
_cell_length_b 5.147
_cell_length_c 5.147
_cell_angle_alpha 136.27
_cell_angle_beta 136.27
_cell_angle_gamma 63.56
loop_
_symmetry_equiv_pos_as_xyz
'x,y,z'
loop_
_atom_site_label
_atom_site_type_symbol
_atom_site_fract_x
_atom_site_fract_y
_atom_site_fract_z
_atom_site_occupancy
Si1 Si 0.000 0.000 0.000 1
Pt1 Pt 0.250 0.750 0.500 1
Pt2 Pt 0.500 0.500 0.000 1
Se1 Se 0.750 0.250 0.500 1
```

[12]
Crystalline SiPt2Se at its relaxed geometry, computed with PBE.

- VASP energy (eV/atom) = -5.561
- space-group type = C2/m, No. 12
- Fermi-level density of states (states/eV/f.u.) = 1.8

Geometry as CIF:
```
data_SiPt2Se
_symmetry_space_group_name_H-M 'P 1'
_symmetry_Int_Tables_number 1
_cell_length_a 3.807
_cell_length_b 3.807
_cell_length_c 5.990
_cell_angle_alpha 108.43
_cell_angle_beta 108.43
_cell_angle_gamma 59.92
loop_
_symmetry_equiv_pos_as_xyz
'x,y,z'
loop_
_atom_site_label
_atom_site_type_symbol
_atom_site_fract_x
_atom_site_fract_y
_atom_site_fract_z
_atom_site_occupancy
Si1 Si 0.000 0.000 0.000 1
Pt1 Pt 0.272 0.272 0.815 1
Pt2 Pt 0.728 0.728 0.185 1
Se1 Se 0.500 0.500 0.500 1
```

[13]
Crystalline SiPt2Se at its relaxed geometry, computed with PBE.

- VASP energy (eV/atom) = -5.444
- space-group type = R-3m, No. 166
- Fermi-level density of states (states/eV/f.u.) = 1.7

Geometry as CIF:
```
data_SiPt2Se
_symmetry_space_group_name_H-M 'P 1'
_symmetry_Int_Tables_number 1
_cell_length_a 8.357
_cell_length_b 8.357
_cell_length_c 8.357
_cell_angle_alpha 20.99
_cell_angle_beta 20.99
_cell_angle_gamma 20.99
loop_
_symmetry_equiv_pos_as_xyz
'x,y,z'
loop_
_atom_site_label
_atom_site_type_symbol
_atom_site_fract_x
_atom_site_fract_y
_atom_site_fract_z
_atom_site_occupancy
Si1 Si 0.000 0.000 0.000 1
Pt1 Pt 0.263 0.263 0.263 1
Pt2 Pt 0.737 0.737 0.737 1
Se1 Se 0.500 0.500 0.500 1
```

[14]
Crystalline Si2PtSe at its relaxed geometry, computed with PBE.

- VASP energy (eV/atom) = -5.302
- space-group type = R-3m, No. 166
- Fermi-level density of states (states/eV/f.u.) = 1.0

Geometry as CIF:
```
data_Si2PtSe
_symmetry_space_group_name_H-M 'P 1'
_symmetry_Int_Tables_number 1
_cell_length_a 6.755
_cell_length_b 6.755
_cell_length_c 6.755
_cell_angle_alpha 30.19
_cell_angle_beta 30.19
_cell_angle_gamma 30.19
loop_
_symmetry_equiv_pos_as_xyz
'x,y,z'
loop_
_atom_site_label
_atom_site_type_symbol
_atom_site_fract_x
_atom_site_fract_y
_atom_site_fract_z
_atom_site_occupancy
Si1 Si 0.242 0.242 0.242 1
Si2 Si 0.758 0.758 0.758 1
Pt1 Pt 0.500 0.500 0.500 1
Se1 Se 0.000 0.000 0.000 1
```

[15]
Crystalline Si2PtSe at its relaxed geometry, computed with PBE.

- VASP energy (eV/atom) = -5.292
- space-group type = I-42d, No. 122
- Fermi-level density of states (states/eV/f.u.) = 0.3

Geometry as CIF:
```
data_Si2PtSe
_symmetry_space_group_name_H-M 'P 1'
_symmetry_Int_Tables_number 1
_cell_length_a 6.631
_cell_length_b 6.631
_cell_length_c 6.631
_cell_angle_alpha 128.28
_cell_angle_beta 128.28
_cell_angle_gamma 76.17
loop_
_symmetry_equiv_pos_as_xyz
'x,y,z'
loop_
_atom_site_label
_atom_site_type_symbol
_atom_site_fract_x
_atom_site_fract_y
_atom_site_fract_z
_atom_site_occupancy
Si1 Si 0.093 0.625 0.968 1
Si2 Si 0.375 0.343 0.468 1
Si3 Si 0.657 0.125 0.032 1
Si4 Si 0.875 0.907 0.532 1
Pt1 Pt 0.000 0.000 0.000 1
Pt2 Pt 0.750 0.250 0.500 1
Se1 Se 0.250 0.750 0.500 1
Se2 Se 0.500 0.500 0.000 1
```

[16]
Crystalline Si4PtSe at its relaxed geometry, computed with PBE.

- VASP energy (eV/atom) = -4.603
- space-group type = F-43m, No. 216
- Fermi-level density of states (states/eV/f.u.) = 4.7

Geometry as CIF:
```
data_Si4PtSe
_symmetry_space_group_name_H-M 'P 1'
_symmetry_Int_Tables_number 1
_cell_length_a 5.174
_cell_length_b 5.174
_cell_length_c 5.174
_cell_angle_alpha 60.00
_cell_angle_beta 60.00
_cell_angle_gamma 60.00
loop_
_symmetry_equiv_pos_as_xyz
'x,y,z'
loop_
_atom_site_label
_atom_site_type_symbol
_atom_site_fract_x
_atom_site_fract_y
_atom_site_fract_z
_atom_site_occupancy
Si1 Si 0.125 0.125 0.125 1
Si2 Si 0.125 0.125 0.624 1
Si3 Si 0.125 0.624 0.125 1
Si4 Si 0.624 0.125 0.125 1
Pt1 Pt 0.500 0.500 0.500 1
Se1 Se 0.750 0.750 0.750 1
```

[17]
Crystalline Si2PtSe at its relaxed geometry, computed with PBE.

- VASP energy (eV/atom) = -4.871
- space-group type = R3m, No. 160
- Fermi-level density of states (states/eV/f.u.) = 2.1

Geometry as CIF:
```
data_Si2PtSe
_symmetry_space_group_name_H-M 'P 1'
_symmetry_Int_Tables_number 1
_cell_length_a 9.808
_cell_length_b 9.808
_cell_length_c 9.808
_cell_angle_alpha 17.32
_cell_angle_beta 17.32
_cell_angle_gamma 17.32
loop_
_symmetry_equiv_pos_as_xyz
'x,y,z'
loop_
_atom_site_label
_atom_site_type_symbol
_atom_site_fract_x
_atom_site_fract_y
_atom_site_fract_z
_atom_site_occupancy
Si1 Si 0.000 0.000 0.000 1
Si2 Si 0.270 0.270 0.270 1
Pt1 Pt 0.542 0.542 0.542 1
Se1 Se 0.791 0.791 0.791 1
```

[18]
Crystalline SiPtSe at its relaxed geometry, computed with PBE.

- VASP energy (eV/atom) = -4.867
- space-group type = Fmm2, No. 42
- Fermi-level density of states (states/eV/f.u.) = 1.1

Geometry as CIF:
```
data_SiPtSe
_symmetry_space_group_name_H-M 'P 1'
_symmetry_Int_Tables_number 1
_cell_length_a 6.145
_cell_length_b 6.142
_cell_length_c 3.000
_cell_angle_alpha 75.94
_cell_angle_beta 75.80
_cell_angle_gamma 28.26
loop_
_symmetry_equiv_pos_as_xyz
'x,y,z'
loop_
_atom_site_label
_atom_site_type_symbol
_atom_site_fract_x
_atom_site_fract_y
_atom_site_fract_z
_atom_site_occupancy
Si1 Si 0.000 0.000 0.000 1
Pt1 Pt 0.618 0.618 0.382 1
Se1 Se 0.307 0.307 0.693 1
```

[19]
Crystalline SiPt2Se at its relaxed geometry, computed with PBE.

- VASP energy (eV/atom) = -5.472
- space-group type = I-42d, No. 122
- Fermi-level density of states (states/eV/f.u.) = 1.0

Geometry as CIF:
```
data_SiPt2Se
_symmetry_space_group_name_H-M 'P 1'
_symmetry_Int_Tables_number 1
_cell_length_a 7.906
_cell_length_b 7.906
_cell_length_c 7.906
_cell_angle_alpha 145.84
_cell_angle_beta 145.84
_cell_angle_gamma 49.09
loop_
_symmetry_equiv_pos_as_xyz
'x,y,z'
loop_
_atom_site_label
_atom_site_type_symbol
_atom_site_fract_x
_atom_site_fract_y
_atom_site_fract_z
_atom_site_occupancy
Si1 Si 0.000 0.000 0.000 1
Si2 Si 0.750 0.250 0.500 1
Pt1 Pt 0.090 0.625 0.965 1
Pt2 Pt 0.375 0.340 0.465 1
Pt3 Pt 0.660 0.125 0.035 1
Pt4 Pt 0.875 0.910 0.535 1
Se1 Se 0.250 0.750 0.500 1
Se2 Se 0.500 0.500 0.000 1
```

[20]
Crystalline Si2PtSe at its relaxed geometry, computed with PBE.

- VASP energy (eV/atom) = -4.775
- space-group type = Pmmm, No. 47
- Fermi-level density of states (states/eV/f.u.) = 1.9

Geometry as CIF:
```
data_Si2PtSe
_symmetry_space_group_name_H-M 'P 1'
_symmetry_Int_Tables_number 1
_cell_length_a 2.882
_cell_length_b 4.622
_cell_length_c 4.927
_cell_angle_alpha 90.00
_cell_angle_beta 90.00
_cell_angle_gamma 90.00
loop_
_symmetry_equiv_pos_as_xyz
'x,y,z'
loop_
_atom_site_label
_atom_site_type_symbol
_atom_site_fract_x
_atom_site_fract_y
_atom_site_fract_z
_atom_site_occupancy
Si1 Si 0.000 0.000 0.000 1
Si2 Si 0.500 0.500 0.000 1
Pt1 Pt 0.000 0.500 0.500 1
Se1 Se 0.500 0.000 0.500 1
```